## La2CrS2O2 (PBE+U)

Data for La2CrS2O2 after structural relaxation.

Unit cell a=3.897 b=6.107 c=6.513 alpha=64.85 beta=72.60 gamma=71.40
Site moments in Bohr magnetons follow the coordinates.
Fractional coordinates of all 7 atoms:
La 0.190 0.349 0.272  0.01
La 0.810 0.651 0.728  0.01
Cr 0.000 0.000 0.000  -1.98
S 0.556 0.188 0.700  0.01
S 0.444 0.812 0.300  0.01
O 0.199 0.690 0.912  -0.01
O 0.801 0.310 0.088  -0.01

Values from the calculation:
volume	18.65	Å³/atom
total DFT energy (no corrections)	-51.09	eV/f.u.